Below is a relaxed structure of MnBO3, with properties calculated at the PBE+U level.

Output
density of states at the Fermi level	0.3776	states/eV per atom
total energy	-27.6	eV per formula unit

Cell: 3.6751 3.6751 3.6751 Å, 90.00 90.00 90.00°
Space group Pm-3m (No. 221)
Unique sites:
Mn 0.0000 0.0000 0.0000
B 0.5000 0.5000 0.5000
O 0.0000 0.0000 0.5000